Model A:
{"formula": "Cr2CuPb2", "functional": "PBE", "state": "relaxed", "lattice_angstrom": [[-1.889, -4.041, 1.021], [1.871, -1.824, -3.757], [4.151, -4.199, 1.318]], "species": ["Pb", "Pb", "Cr", "Cu", "Cr"], "fractional_positions": [[0.750, 0.250, 0.500], [0.250, 0.750, 0.500], [0.414, 0.414, 0.173], [0.000, 0.000, 0.000], [0.586, 0.586, 0.827]], "dos_ef_per_ev_cell": 3.61}


Model B:
{"formula": "Cr2CuPb2", "functional": "PBE", "state": "relaxed", "lattice_angstrom": [[7.488, 0.000, 0.000], [0.000, 7.488, 0.000], [0.000, 0.000, 3.321]], "species": ["Cu", "Pb", "Cr", "Cr", "Pb", "Pb", "Cu", "Cr", "Pb", "Cr"], "fractional_positions": [[0.500, 0.500, 0.000], [0.307, 0.193, 0.500], [0.598, 0.098, 0.000], [0.402, 0.902, 0.000], [0.693, 0.807, 0.500], [0.807, 0.307, 0.500], [0.000, 0.000, 0.000], [0.902, 0.598, 0.000], [0.193, 0.693, 0.500], [0.098, 0.402, 0.000]], "dos_ef_per_ev_cell": 6.92}


The relative energies come out as model A 0.227; model B 0.000, with values in eV/atom.


Model A:
{"formula": "CrCuPd5", "functional": "PBE", "state": "relaxed", "lattice_angstrom": [[3.979, 0.000, 0.000], [0.000, 3.979, 0.000], [0.000, 0.000, 6.949]], "species": ["Pd", "Pd", "Pd", "Pd", "Pd", "Cu", "Cr"], "fractional_positions": [[0.500, 0.000, 0.230], [0.500, 0.500, 0.500], [0.500, 0.000, 0.770], [0.000, 0.500, 0.770], [0.000, 0.500, 0.230], [0.500, 0.500, 0.000], [0.000, 0.000, 0.500]], "dos_ef_per_ev_cell": 12.34}


Model B:
{"formula": "CrCuPd5", "functional": "PBE", "state": "relaxed", "lattice_angstrom": [[6.270, 0.075, 2.885], [2.060, 5.923, 2.885], [5.630, 4.053, 9.660]], "species": ["Cr", "Pd", "Pd", "Pd", "Pd", "Pd", "Cr", "Cu", "Pd", "Pd", "Pd", "Cu", "Pd", "Pd"], "fractional_positions": [[0.000, 0.000, 0.000], [0.994, 0.403, 0.660], [0.128, 0.872, 0.750], [0.403, 0.994, 0.160], [0.728, 0.414, 0.993], [0.414, 0.728, 0.493], [0.000, 0.000, 0.500], [0.507, 0.493, 0.250], [0.597, 0.006, 0.840], [0.272, 0.586, 0.007], [0.586, 0.272, 0.507], [0.493, 0.507, 0.750], [0.872, 0.128, 0.250], [0.006, 0.597, 0.340]], "dos_ef_per_ev_cell": 16.05}


The relative energies come out as model A 0.049; model B 0.000, with values in eV/atom.


Model A:
{"formula": "CrCuPd4", "functional": "PBE", "state": "relaxed", "lattice_angstrom": [[-0.323, -2.774, 0.413], [2.725, -0.212, 0.703], [-2.582, 1.875, 10.569]], "species": ["Pd", "Pd", "Cu", "Pd", "Pd", "Cr"], "fractional_positions": [[0.000, 0.500, 0.660], [0.500, 0.000, 0.843], [0.000, 0.500, 0.000], [0.000, 0.500, 0.340], [0.500, 0.000, 0.157], [0.500, 0.000, 0.500]], "dos_ef_per_ev_cell": 4.80}


Model B:
{"formula": "CrCuPd4", "functional": "PBE", "state": "relaxed", "lattice_angstrom": [[4.129, 0.000, 0.000], [2.064, 3.574, 0.208], [2.064, 0.801, 6.818]], "species": ["Pd", "Pd", "Cu", "Pd", "Pd", "Cr"], "fractional_positions": [[0.624, 0.623, 0.130], [0.376, 0.377, 0.870], [0.000, 0.000, 0.000], [0.125, 0.125, 0.625], [0.875, 0.875, 0.375], [0.500, 0.500, 0.500]], "dos_ef_per_ev_cell": 5.01}


The relative energies come out as model A 0.000; model B 0.271, with values in eV/atom.


Model A:
{"formula": "CrCu6Pd8", "functional": "PBE", "state": "relaxed", "lattice_angstrom": [[-1.531, -5.126, 3.091], [-0.279, -4.239, -4.486], [5.426, -2.902, 0.557]], "species": ["Cu", "Pd", "Pd", "Cr", "Cu", "Cu", "Pd", "Pd", "Pd", "Pd", "Cu", "Pd", "Cu", "Cu", "Pd"], "fractional_positions": [[0.556, 0.409, 0.797], [0.161, 0.628, 0.939], [0.839, 0.372, 0.061], [0.000, 0.000, 0.000], [0.797, 0.556, 0.409], [0.444, 0.591, 0.203], [0.939, 0.161, 0.628], [0.758, 0.758, 0.758], [0.372, 0.061, 0.839], [0.061, 0.839, 0.372], [0.409, 0.797, 0.556], [0.628, 0.939, 0.161], [0.591, 0.203, 0.444], [0.203, 0.444, 0.591], [0.242, 0.242, 0.242]], "dos_ef_per_ev_cell": 10.96}


Model B:
{"formula": "CrCu6Pd8", "functional": "PBE", "state": "relaxed", "lattice_angstrom": [[5.105, 0.000, 0.000], [0.000, 6.265, -3.617], [0.000, 0.000, 7.235]], "species": ["Cu", "Pd", "Cu", "Cu", "Pd", "Pd", "Pd", "Pd", "Cu", "Pd", "Cu", "Pd", "Cu", "Cr", "Pd"], "fractional_positions": [[0.653, 0.999, 0.664], [0.505, 0.333, 0.667], [0.347, 0.335, 0.999], [0.653, 0.665, 0.001], [0.848, 0.674, 0.675], [0.848, 0.325, 0.999], [0.495, 0.667, 0.333], [0.152, 0.675, 0.001], [0.653, 0.336, 0.335], [0.152, 0.999, 0.674], [0.347, 0.664, 0.665], [0.848, 0.001, 0.326], [0.347, 0.001, 0.336], [0.500, 0.000, 0.000], [0.152, 0.326, 0.325]], "dos_ef_per_ev_cell": 19.29}


The relative energies come out as model A 0.000; model B 0.039, with values in eV/atom.


Model A:
{"formula": "CrCu2Pd6", "functional": "PBE", "state": "relaxed", "lattice_angstrom": [[-2.188, 3.274, -0.160], [-4.617, -0.734, -0.423], [-3.434, 0.446, 7.527]], "species": ["Pd", "Pd", "Cr", "Cu", "Pd", "Pd", "Pd", "Pd", "Cu"], "fractional_positions": [[0.001, 0.819, 0.178], [0.663, 0.069, 0.605], [0.000, 0.500, 0.500], [0.672, 0.382, 0.274], [0.999, 0.181, 0.822], [0.333, 0.277, 0.057], [0.337, 0.931, 0.395], [0.667, 0.723, 0.943], [0.328, 0.618, 0.726]], "dos_ef_per_ev_cell": 10.28}


Model B:
{"formula": "CrCu2Pd6", "functional": "PBE", "state": "relaxed", "lattice_angstrom": [[-0.174, -5.004, 1.813], [6.822, -2.571, -1.075], [2.694, 0.442, 6.845]], "species": ["Pd", "Pd", "Cr", "Pd", "Pd", "Pd", "Pd", "Pd", "Pd", "Cu", "Pd", "Cu", "Cu", "Pd", "Pd", "Pd", "Cu", "Cr"], "fractional_positions": [[0.260, 0.039, 0.203], [0.486, 0.659, 0.359], [0.750, 0.865, 0.135], [0.514, 0.341, 0.641], [0.014, 0.641, 0.341], [0.242, 0.990, 0.580], [0.240, 0.797, 0.961], [0.758, 0.010, 0.420], [0.986, 0.359, 0.659], [0.122, 0.659, 0.688], [0.760, 0.203, 0.039], [0.378, 0.312, 0.341], [0.878, 0.341, 0.312], [0.740, 0.961, 0.797], [0.258, 0.420, 0.010], [0.742, 0.580, 0.990], [0.622, 0.688, 0.659], [0.250, 0.135, 0.865]], "dos_ef_per_ev_cell": 14.98}


The relative energies come out as model A 0.000; model B 0.106, with values in eV/atom.


Model A:
{"formula": "CrCu3Pd6", "functional": "PBE", "state": "relaxed", "lattice_angstrom": [[-6.410, 0.322, -1.848], [-1.676, -2.542, 5.944], [-0.220, 6.221, 2.420]], "species": ["Cu", "Pd", "Cu", "Pd", "Cr", "Pd", "Cr", "Pd", "Cu", "Pd", "Pd", "Cu", "Pd", "Cu", "Pd", "Pd", "Pd", "Pd", "Pd", "Cu"], "fractional_positions": [[0.756, 0.879, 0.262], [0.155, 0.490, 0.625], [0.262, 0.756, 0.879], [0.624, 0.950, 0.854], [0.000, 0.000, 0.000], [0.845, 0.510, 0.375], [0.500, 0.500, 0.500], [0.050, 0.146, 0.376], [0.244, 0.121, 0.738], [0.854, 0.624, 0.950], [0.375, 0.845, 0.510], [0.121, 0.738, 0.244], [0.376, 0.050, 0.146], [0.738, 0.244, 0.121], [0.950, 0.854, 0.624], [0.625, 0.155, 0.490], [0.510, 0.375, 0.845], [0.146, 0.376, 0.050], [0.490, 0.625, 0.155], [0.879, 0.262, 0.756]], "dos_ef_per_ev_cell": 15.58}


Model B:
{"formula": "CrCu3Pd6", "functional": "PBE", "state": "relaxed", "lattice_angstrom": [[-1.582, 2.381, -3.424], [-6.759, -1.000, 2.427], [3.971, 7.903, 3.661]], "species": ["Pd", "Pd", "Cu", "Pd", "Pd", "Cu", "Cr", "Pd", "Cu", "Cu", "Pd", "Cu", "Pd", "Pd", "Cu", "Pd", "Pd", "Pd", "Cr", "Pd"], "fractional_positions": [[0.250, 0.159, 0.176], [0.750, 0.927, 0.127], [0.250, 0.552, 0.371], [0.250, 0.073, 0.873], [0.250, 0.467, 0.076], [0.750, 0.236, 0.029], [0.750, 0.042, 0.416], [0.250, 0.256, 0.488], [0.250, 0.375, 0.780], [0.250, 0.764, 0.971], [0.750, 0.744, 0.512], [0.750, 0.625, 0.220], [0.750, 0.145, 0.714], [0.250, 0.855, 0.286], [0.750, 0.448, 0.629], [0.250, 0.658, 0.669], [0.750, 0.533, 0.924], [0.750, 0.342, 0.331], [0.250, 0.958, 0.584], [0.750, 0.841, 0.824]], "dos_ef_per_ev_cell": 17.36}


The relative energies come out as model A 0.099; model B 0.000, with values in eV/atom.


Model A:
{"formula": "CrCu6Pd12", "functional": "PBE", "state": "relaxed", "lattice_angstrom": [[-4.293, 2.508, -4.233], [1.123, -4.918, -4.147], [-4.810, -3.477, 2.724]], "species": ["Pd", "Pd", "Pd", "Cu", "Pd", "Pd", "Cu", "Pd", "Pd", "Pd", "Pd", "Pd", "Pd", "Pd", "Cr", "Cu", "Cu", "Cu", "Cu"], "fractional_positions": [[0.803, 0.530, 0.436], [0.976, 0.849, 0.634], [0.436, 0.803, 0.530], [0.734, 0.887, 0.270], [0.564, 0.197, 0.470], [0.024, 0.151, 0.366], [0.270, 0.734, 0.887], [0.151, 0.366, 0.024], [0.366, 0.024, 0.151], [0.634, 0.976, 0.849], [0.849, 0.634, 0.976], [0.530, 0.436, 0.803], [0.470, 0.564, 0.197], [0.197, 0.470, 0.564], [0.000, 0.000, 0.000], [0.266, 0.113, 0.730], [0.113, 0.730, 0.266], [0.887, 0.270, 0.734], [0.730, 0.266, 0.113]], "dos_ef_per_ev_cell": 20.02}


Model B:
{"formula": "CrCu6Pd12", "functional": "PBE", "state": "relaxed", "lattice_angstrom": [[-0.805, -2.689, 6.075], [4.807, 5.355, 0.551], [-2.401, 5.169, 4.428]], "species": ["Cu", "Pd", "Cr", "Pd", "Pd", "Pd", "Pd", "Pd", "Pd", "Cu", "Cu", "Cu", "Pd", "Pd", "Pd", "Pd", "Pd", "Cu", "Cu"], "fractional_positions": [[0.635, 0.211, 0.316], [0.738, 0.574, 0.371], [0.000, 0.000, 0.000], [0.207, 0.733, 0.111], [0.526, 0.844, 0.267], [0.164, 0.055, 0.574], [0.681, 0.889, 0.844], [0.319, 0.111, 0.156], [0.836, 0.945, 0.426], [0.049, 0.684, 0.527], [0.577, 0.527, 0.789], [0.951, 0.316, 0.473], [0.109, 0.371, 0.055], [0.891, 0.629, 0.945], [0.474, 0.156, 0.733], [0.793, 0.267, 0.889], [0.262, 0.426, 0.629], [0.365, 0.789, 0.684], [0.423, 0.473, 0.211]], "dos_ef_per_ev_cell": 21.82}


The relative energies come out as model A 0.076; model B 0.000, with values in eV/atom.


Model A:
{"formula": "CrCu2Pd8", "functional": "PBE", "state": "relaxed", "lattice_angstrom": [[-0.504, -1.620, -3.772], [5.927, 2.078, -1.684], [0.903, -5.959, 2.440]], "species": ["Pd", "Pd", "Cr", "Cu", "Pd", "Cu", "Pd", "Pd", "Pd", "Pd", "Pd"], "fractional_positions": [[0.500, 0.250, 0.750], [0.500, 0.671, 0.671], [0.500, 0.000, 0.000], [0.000, 0.616, 0.384], [0.000, 0.040, 0.306], [0.000, 0.384, 0.616], [0.000, 0.306, 0.040], [0.000, 0.960, 0.694], [0.500, 0.750, 0.250], [0.000, 0.694, 0.960], [0.500, 0.329, 0.329]], "dos_ef_per_ev_cell": 16.95}


Model B:
{"formula": "CrCu2Pd8", "functional": "PBE", "state": "relaxed", "lattice_angstrom": [[-0.386, -1.911, -4.172], [3.922, -5.145, 0.497], [-4.719, -4.354, 0.933]], "species": ["Cu", "Cr", "Pd", "Pd", "Pd", "Cu", "Pd", "Pd", "Pd", "Pd", "Pd"], "fractional_positions": [[0.534, 0.863, 0.863], [0.000, 0.000, 0.000], [0.800, 0.157, 0.674], [0.700, 0.583, 0.583], [0.200, 0.326, 0.843], [0.466, 0.137, 0.137], [0.109, 0.738, 0.738], [0.891, 0.262, 0.262], [0.800, 0.674, 0.157], [0.200, 0.843, 0.326], [0.300, 0.417, 0.417]], "dos_ef_per_ev_cell": 11.95}


The relative energies come out as model A 0.000; model B 0.209, with values in eV/atom.


Model A:
{"formula": "RbCrCu", "functional": "PBE", "state": "relaxed", "lattice_angstrom": [[3.826, -2.209, 0.000], [0.000, 4.418, 0.000], [0.000, 0.000, 5.559]], "species": ["Cr", "Cu", "Rb"], "fractional_positions": [[0.333, 0.667, 0.000], [0.000, 0.000, 0.000], [0.667, 0.333, 0.500]], "dos_ef_per_ev_cell": 2.21}


Model B:
{"formula": "RbCrCu", "functional": "PBE", "state": "relaxed", "lattice_angstrom": [[0.720, -1.730, 4.964], [-3.633, -2.298, -3.110], [4.400, -4.140, -2.081]], "species": ["Rb", "Cr", "Cu", "Cu", "Rb", "Cr"], "fractional_positions": [[0.000, 0.000, 0.250], [0.667, 0.333, 0.988], [0.667, 0.333, 0.512], [0.333, 0.667, 0.012], [0.000, 0.000, 0.750], [0.333, 0.667, 0.488]], "dos_ef_per_ev_cell": 2.65}


The relative energies come out as model A 0.000; model B 0.200, with values in eV/atom.


Model A:
{"formula": "CrCu2Re", "functional": "PBE", "state": "relaxed", "lattice_angstrom": [[4.783, 0.010, -0.002], [2.185, 4.255, 0.002], [-3.484, -2.133, 2.489]], "species": ["Re", "Cu", "Cr", "Cu"], "fractional_positions": [[0.250, 0.750, 0.500], [0.000, 0.000, 0.000], [0.750, 0.250, 0.500], [0.500, 0.500, 0.000]], "dos_ef_per_ev_cell": 2.56}


Model B:
{"formula": "CrCu2Re", "functional": "PBE", "state": "relaxed", "lattice_angstrom": [[0.000, 2.941, 2.941], [2.941, 0.000, 2.941], [2.941, 2.941, 0.000]], "species": ["Cr", "Re", "Cu", "Cu"], "fractional_positions": [[0.000, 0.000, 0.000], [0.500, 0.500, 0.500], [0.750, 0.750, 0.750], [0.250, 0.250, 0.250]], "dos_ef_per_ev_cell": 4.20}


Model C:
{"formula": "CrCu2Re", "functional": "PBE", "state": "relaxed", "lattice_angstrom": [[2.562, 0.000, 0.000], [0.000, 3.812, 0.000], [0.000, 0.000, 5.279]], "species": ["Re", "Cr", "Cu", "Cu"], "fractional_positions": [[0.000, 0.000, 0.511], [0.500, 0.500, 0.744], [0.000, 0.000, 0.011], [0.500, 0.500, 0.234]], "dos_ef_per_ev_cell": 3.23}


Model D:
{"formula": "CrCu2Re", "functional": "PBE", "state": "relaxed", "lattice_angstrom": [[4.180, 0.000, 0.000], [2.090, 3.620, 0.000], [2.090, 1.207, 3.413]], "species": ["Cu", "Cu", "Re", "Cr"], "fractional_positions": [[0.250, 0.250, 0.250], [0.000, 0.000, 0.000], [0.750, 0.750, 0.750], [0.500, 0.500, 0.500]], "dos_ef_per_ev_cell": 2.94}


The relative energies come out as model A 0.007; model B 0.328; model C 0.000; model D 0.104, with values in eV/atom.